[1]
## ZnGaMoI2 (PBE)

Data for a relaxed ZnGaMoI2 crystal.

a = 5.909 Å, b = 5.909 Å, c = 4.712 Å
α = 90.00°, β = 90.00°, γ = 90.00°
Last column: magnetic moment on the atom in μB.
Positions (direct):
1 Mo 0.500 0.500 0.500  4.00
2 Zn 0.000 0.000 0.000  0.00
3 I 0.000 0.500 0.000  0.01
4 I 0.500 0.000 0.000  0.01
5 Ga 0.000 0.000 0.500  0.01

formation energy (no corrections) = 0.8915 eV/atom
ρ = 4.9 Mg/m³
space-group type = No. 123

---

[2]
## Ga2IN (PBE)

Data for a relaxed Ga2IN crystal.

a = 6.441 Å, b = 6.441 Å, c = 6.155 Å
α = 58.45°, β = 58.45°, γ = 90.00°
Positions (direct):
1 Ga 0.875 0.748 0.750
2 N 0.250 0.750 0.500
3 Ga 0.498 0.125 0.250
4 I 0.750 0.250 0.500
5 Ga 0.252 0.625 0.250
6 I 0.000 0.000 0.000
7 Ga 0.375 0.502 0.750
8 N 0.500 0.500 0.000

offset from the most stable computed form = 0 meV per atom
formation energy (no corrections) = 0.1519 eV/atom
ρ = 5.4 Mg/m³
space-group type = No. 122

---

[3]
## GaIN (PBE)

Data for a relaxed GaIN crystal.

a = 5.054 Å, b = 5.056 Å, c = 9.817 Å
α = 56.52°, β = 123.68°, γ = 126.98°
Positions (direct):
1 N 0.219 0.489 0.672
2 Ga 0.842 0.661 0.500
3 I 0.291 0.151 0.232
4 I 0.709 0.849 0.768
5 N 0.781 0.511 0.328
6 Ga 0.158 0.339 0.500

offset from the most stable computed form = 512 meV per atom
formation energy (no corrections) = 0.5368 eV/atom
ρ = 4.4 Mg/m³
space-group type = No. 2

---

[4]
## GaI3N (PBE)

Data for a relaxed GaI3N crystal.

a = 5.143 Å, b = 5.143 Å, c = 5.143 Å
α = 90.00°, β = 90.00°, γ = 90.00°
Positions (direct):
1 I 0.000 0.000 0.500
2 N 0.000 0.000 0.000
3 I 0.000 0.500 0.000
4 I 0.500 0.000 0.000
5 Ga 0.500 0.500 0.500

offset from the most stable computed form = 0 meV per atom
formation energy (no corrections) = 0.7146 eV/atom
ρ = 5.7 Mg/m³
space-group type = No. 221

---

[5]
## Ga3IN (PBE)

Data for a relaxed Ga3IN crystal.

a = 4.734 Å, b = 4.734 Å, c = 4.734 Å
α = 90.00°, β = 90.00°, γ = 90.00°
Positions (direct):
1 Ga 0.000 0.500 0.000
2 I 0.500 0.500 0.500
3 Ga 0.000 0.000 0.500
4 N 0.000 0.000 0.000
5 Ga 0.500 0.000 0.000

offset from the most stable computed form = 0 meV per atom
formation energy (no corrections) = 0.4418 eV/atom
ρ = 5.5 Mg/m³
space-group type = No. 221

---

[6]
## GaI4N2 (PBE)

Data for a relaxed GaI4N2 crystal.

a = 3.887 Å, b = 8.002 Å, c = 7.559 Å
α = 71.14°, β = 103.07°, γ = 90.44°
Positions (direct):
1 I 0.887 0.381 0.707
2 I 0.408 0.864 0.803
3 I 0.113 0.619 0.293
4 I 0.592 0.136 0.197
5 N 0.738 0.671 0.406
6 Ga 0.000 0.000 0.000
7 N 0.262 0.329 0.594

formation energy (no corrections) = 0.8946 eV/atom
ρ = 4.6 Mg/m³
space-group type = No. 2

---

[7]
## GaI3N (PBE)

Data for a relaxed GaI3N crystal.

a = 5.694 Å, b = 5.694 Å, c = 5.694 Å
α = 90.00°, β = 90.00°, γ = 90.00°
Last column: magnetic moment on the atom in μB.
Positions (direct):
1 N 0.500 0.500 0.500  1.92
2 I 0.500 0.000 0.000  0.03
3 I 0.000 0.500 0.000  0.02
4 I 0.000 0.000 0.500  0.03
5 Ga 0.000 0.000 0.000  0.00

offset from the most stable computed form = 212 meV per atom
formation energy (no corrections) = 0.9268 eV/atom
ρ = 4.2 Mg/m³
space-group type = No. 221

---

[8]
## GaIN (PBE)

Data for a relaxed GaIN crystal.

a = 3.239 Å, b = 3.243 Å, c = 16.406 Å
α = 101.36°, β = 102.53°, γ = 60.74°
Positions (direct):
1 N 0.392 0.377 0.616
2 Ga 0.725 0.711 0.613
3 I 0.734 0.661 0.076
4 I 0.521 0.568 0.365
5 N 0.216 0.150 0.816
6 Ga 0.549 0.484 0.813

offset from the most stable computed form = 0 meV per atom
formation energy (no corrections) = 0.0249 eV/atom
ρ = 4.8 Mg/m³
space-group type = No. 1

---

- The highest ρ belongs to which entry?
  number 4

---

- The highest ρ belongs to which entry?
  number 4

---

- Among the records above, which one has the highest ρ?
  number 4